Density functional theory data (PBE) for an optimized crystal structure of CaYTa2.

Structure (CIF):
```
data_CaYTa2
_chemical_formula_sum 'Ca2 Y2 Ta4'
_symmetry_space_group_name_H-M 'C 1 2/m 1'
_symmetry_Int_Tables_number 12
_cell_length_a 10.7965
_cell_length_b 3.0729
_cell_length_c 6.0973
_cell_angle_alpha 90.00
_cell_angle_beta 94.96
_cell_angle_gamma 90.00
loop_
_symmetry_equiv_pos_as_xyz
'x,y,z'
'-x,-y,-z'
'-x,y,-z'
'x,-y,z'
'x+1/2,y+1/2,z'
'-x+1/2,-y+1/2,-z'
'-x+1/2,y+1/2,-z'
'x+1/2,-y+1/2,z'
loop_
_atom_site_label
_atom_site_type_symbol
_atom_site_fract_x
_atom_site_fract_y
_atom_site_fract_z
Ca1 Ca 0.0000 0.0000 0.0000
Y1 Y 0.0000 0.5000 0.5000
Ta1 Ta 0.2445 0.0000 0.6920
```

Results
- Distance to the lowest polymorph of the same formula: 0.378 eV/atom
- Energy relative to the elements: 0.655 eV per atom
- Calculated volume: 201.53 Å³ per cell

Density functional theory data (PBE) for an optimized crystal structure of HgWCl.

Structure (CIF):
```
data_HgWCl
_chemical_formula_sum 'Hg4 W4 Cl4'
_symmetry_space_group_name_H-M 'F -4 3 m'
_symmetry_Int_Tables_number 216
_symmetry_space_group_name_Hall 'F -4 2 3'
_cell_length_a 6.9586
_cell_length_b 6.9586
_cell_length_c 6.9586
_cell_angle_alpha 90.00
_cell_angle_beta 90.00
_cell_angle_gamma 90.00
loop_
_atom_site_label
_atom_site_type_symbol
_atom_site_fract_x
_atom_site_fract_y
_atom_site_fract_z
Hg1 Hg 0.0000 0.0000 0.0000
W1 W 0.2500 0.2500 0.2500
Cl1 Cl 0.2500 0.2500 0.7500
```

Results
- Distance to the lowest polymorph of the same formula: 1.434 eV/atom
- Raw formation energy: 1753.9 meV per atom
- Calculated volume: 336.94 Å³ per cell